Density functional theory data (PBE-GGA) for a relaxed structure of KSnGeO5.

a b c (Å): 6.0004 6.0004 7.6922
angles (deg): 105.17 105.17 105.98
Sites, in units of the cell vectors:
K1 0.6657 0.3343 0.7500
Ge1 0.3025 0.6975 0.7500
Ge2 0.6975 0.3025 0.2500
O1 0.0668 0.9332 0.2500
O2 0.7075 0.1122 0.3912
O3 0.2925 0.8878 0.6088
O4 0.8878 0.2925 0.1088
O5 0.9332 0.0668 0.7500
Sn1 0.0000 0.0000 0.0000
O6 0.3830 0.2280 0.1003
K2 0.3343 0.6657 0.2500
O7 0.2280 0.3830 0.6003
O8 0.1122 0.7075 0.8912
Sn2 0.0000 0.0000 0.5000
O9 0.7720 0.6170 0.3997
O10 0.6170 0.7720 0.8997

Calculated values
The uncorrected formation energy is -1.447 eV/atom. For the total moment, the calculation gives 0.13 μB/atom. The value obtained for the density of states at the Fermi level is 4.8 states/eV/f.u.